## CaTa2As (GGA-PBE)

Data for crystalline CaTa2As at its relaxed geometry.

Cell and atoms, written as extended XYZ:
```
4
Lattice="-1.314 -0.451 3.133 2.710 -1.913 0.861 3.457 5.936 2.306" Properties=species:S:1:pos:R:3 pbc="T T T"
As 1.547 2.655 1.031
Ca 3.236 3.176 3.690
Ta 0.209 0.359 0.139
Ta 1.590 0.350 2.592
```

Calculated values
Calculated total energy = -7.642 eV/atom
Energy of formation from the pure elements = -0.05 eV per atom
Theoretical density = 9.30 g cm⁻³